A plane-wave DFT calculation with GGA-PBE was carried out for a geometry-optimized DyErIn4Pd2 structure.

Calculated values
* total energy: -4.4463 eV/atom
* density: 9.36 g/cm3

Lattice parameters (Å, degrees): 7.514 4.482 10.552 90.00 90.00 90.00
Space group Amm2 (No. 38)
Asymmetric unit:
Dy1 0.000 0.000 0.000
Er1 0.500 0.000 0.852
In1 0.201 0.000 0.289
In2 0.299 0.000 0.563
Pd1 0.000 0.000 0.716
Pd2 0.500 0.000 0.137